[1]
This record from Alexandria describes a geometry-optimized LaRuRh2 structure. The functional is PBE.

The structure in POSCAR format:
```
LaRuRh2
1.0
4.945 0.013 -0.014
-1.531 4.702 -0.014
0.011 0.016 2.994
La Rh Ru
1 2 1
Direct
0.000 0.500 0.500 La
0.000 0.000 0.000 Rh
0.500 0.500 0.000 Rh
0.500 0.000 0.500 Ru
```

Values from the calculation:
DFT formation energy	-0.06	eV per atom
polymorph energy (0 for the lowest one)	0.0372	eV/atom

=====

[2]
This record from Alexandria describes a geometry-optimized BaTe2Os structure. The functional is PBE.

The structure in POSCAR format:
```
BaTe2Os
1.0
0.000 3.754 3.754
3.754 0.000 3.754
3.754 3.754 0.000
Te Os Ba
2 1 1
Direct
0.250 0.250 0.250 Te
0.750 0.750 0.750 Te
0.500 0.500 0.500 Os
0.000 0.000 0.000 Ba
```

Values from the calculation:
uncorrected formation energy	0.3507	eV/atom
polymorph energy (0 for the lowest one)	0.7930	eV/atom

=====

[3]
This record from Alexandria describes a geometry-optimized Ho3ScPt2 structure. The functional is PBE.

The structure in POSCAR format:
```
Ho3ScPt2
1.0
-4.363 -4.347 2.393
0.415 -3.439 -5.491
7.192 0.160 4.281
Ho Sc Pt
6 2 4
Direct
0.378 0.690 0.380 Ho
0.622 0.310 0.620 Ho
0.998 0.810 0.620 Ho
0.002 0.190 0.380 Ho
0.500 0.750 0.000 Ho
0.500 0.250 0.000 Ho
0.000 0.250 0.000 Sc
0.000 0.750 0.000 Sc
0.340 0.114 0.228 Pt
0.660 0.886 0.772 Pt
0.112 0.386 0.772 Pt
0.888 0.614 0.228 Pt
```

Values from the calculation:
DFT formation energy	-0.89	eV per atom
polymorph energy (0 for the lowest one)	0.0590	eV/atom